# LaPm5Ni2

A relaxed LaPm5Ni2 crystal (GGA-PBE, the Alexandria database).

Calculated values
N(E_F): 21.32 states/eV per cell
mass density: 6.926 g cm⁻³
magnetization: 0.00 μB/f.u.
distance to the lowest polymorph of the same formula: 0.00 eV per formula unit
space-group type: Cmcm
electronic total energy: -41.05 eV per formula unit
E_form: -0.81 eV per formula unit

Lattice parameters (Å, degrees): 6.9256 6.9256 18.7820 90.00 90.00 148.51
Element x y z (fractional)
La: 0.1872 0.8128 0.7500
La: 0.8128 0.1872 0.2500
Pm: 0.0832 0.9168 0.2500
Pm: 0.1701 0.8299 0.5588
Pm: 0.1701 0.8299 0.9412
Pm: 0.4370 0.5630 0.5916
Pm: 0.4370 0.5630 0.9084
Pm: 0.5630 0.4370 0.0916
Pm: 0.5630 0.4370 0.4084
Pm: 0.8299 0.1701 0.0588
Pm: 0.8299 0.1701 0.4412
Pm: 0.9168 0.0832 0.7500
Ni: 0.2151 0.7849 0.1357
Ni: 0.2151 0.7849 0.3643
Ni: 0.7849 0.2151 0.6357
Ni: 0.7849 0.2151 0.8643

***

# BaH2Pb

A relaxed BaH2Pb crystal (GGA-PBE, the Alexandria database).

Calculated values
N(E_F): 2.66 states/eV per cell
mass density: 6.114 g cm⁻³
magnetization: 0.00 μB/f.u.
distance to the lowest polymorph of the same formula: 0.00 eV per formula unit
space-group type: P1
electronic total energy: -13.00 eV per formula unit

Lattice parameters (Å, degrees): 4.0936 7.4135 7.4946 119.29 90.01 105.97
Element x y z (fractional)
Ba: 0.0000 0.0000 0.0000
Ba: 0.5005 0.0008 0.5005
H: 0.0955 0.1686 0.4047
H: 0.4282 0.8328 0.0960
H: 0.5721 0.1675 0.9046
H: 0.9055 0.8328 0.5957
Pb: 0.4995 0.5002 0.0004
Pb: 0.4998 0.5004 0.4999

***

# CsErGeSe4

A relaxed CsErGeSe4 crystal (GGA-PBE, the Alexandria database).

Calculated values
mass density: 5.093 g cm⁻³
magnetization: 0.00 μB/f.u.
space-group type: P2_1/m
formation energy from raw total energies: -1.13 eV per atom
electronic total energy: -31.89 eV per formula unit

Lattice parameters (Å, degrees): 6.7325 7.1345 9.8592 90.00 108.53 90.00
Element x y z (fractional)
Cs: 0.2497 0.2500 0.0580
Cs: 0.7503 0.7500 0.9420
Er: 0.2232 0.2500 0.5475
Er: 0.7768 0.7500 0.4525
Ge: 0.2232 0.7500 0.3412
Ge: 0.7768 0.2500 0.6588
Se: 0.0168 0.5074 0.6934
Se: 0.0168 0.9926 0.6934
Se: 0.4280 0.7500 0.1871
Se: 0.4499 0.7500 0.5784
Se: 0.5501 0.2500 0.4216
Se: 0.5720 0.2500 0.8129
Se: 0.9832 0.0074 0.3066
Se: 0.9832 0.4926 0.3066

***

# Nd2ZnPt6

A relaxed Nd2ZnPt6 crystal (GGA-PBE, the Alexandria database).

Calculated values
N(E_F): 4.31 states/eV per cell
mass density: 14.826 g cm⁻³
magnetization: 0.00 μB/f.u.
space-group type: P-3m1
electronic total energy: -54.83 eV per formula unit
E_form: -7.78 eV per formula unit

Lattice parameters (Å, degrees): 5.6964 5.6964 6.0758 90.00 90.00 120.00
Element x y z (fractional)
Nd: 0.3333 0.6667 0.1549
Nd: 0.6667 0.3333 0.8451
Zn: 0.0000 0.0000 0.0000
Pt: 0.1727 0.3454 0.6856
Pt: 0.1727 0.8273 0.6856
Pt: 0.3454 0.1727 0.3144
Pt: 0.6546 0.8273 0.6856
Pt: 0.8273 0.1727 0.3144
Pt: 0.8273 0.6546 0.3144

***

# TiReW

A relaxed TiReW crystal (GGA-PBE, the Alexandria database).

Calculated values
N(E_F): 2.32 states/eV per cell
mass density: 14.879 g cm⁻³
magnetization: 0.00 μB/f.u.
distance to the lowest polymorph of the same formula: 0.00 eV per formula unit
space-group type: Cmcm
electronic total energy: -34.29 eV per formula unit
E_form: -0.99 eV per formula unit

Lattice parameters (Å, degrees): 6.9226 6.9226 4.4045 90.00 90.00 153.77
Element x y z (fractional)
Ti: 0.0801 0.9199 0.7500
Ti: 0.9199 0.0801 0.2500
Re: 0.4146 0.5854 0.7500
Re: 0.5854 0.4146 0.2500
W: 0.2454 0.7546 0.2500
W: 0.7546 0.2454 0.7500

***

# Hf2BeTc

A relaxed Hf2BeTc crystal (GGA-PBE, the Alexandria database).

Calculated values
N(E_F): 6.59 states/eV per cell
mass density: 10.884 g cm⁻³
magnetization: 0.00 μB/f.u.
space-group type: I-42d
electronic total energy: -32.37 eV per formula unit
E_form: 1.63 eV per formula unit

Lattice parameters (Å, degrees): 5.7691 5.7691 5.7691 103.19 103.19 122.93
Element x y z (fractional)
Hf: 0.1224 0.6250 0.9974
Hf: 0.3750 0.3724 0.4974
Hf: 0.6276 0.1250 0.0026
Hf: 0.8750 0.8776 0.5026
Be: 0.2500 0.7500 0.5000
Be: 0.5000 0.5000 0.0000
Tc: 0.0000 0.0000 0.0000
Tc: 0.7500 0.2500 0.5000

***

# LaFePb2

A relaxed LaFePb2 crystal (GGA-PBE, the Alexandria database).

Calculated values
N(E_F): 6.34 states/eV per cell
mass density: 9.374 g cm⁻³
magnetization: 2.42 μB/f.u.
distance to the lowest polymorph of the same formula: 1.00 eV per formula unit
space-group type: F-43m
electronic total energy: -19.90 eV per formula unit
E_form: 0.90 eV per formula unit

Lattice parameters (Å, degrees): 5.3438 5.3438 5.3438 60.00 60.00 60.00
Element x y z (fractional)
La: 0.0000 0.0000 0.0000
Fe: 0.7500 0.7500 0.7500
Pb: 0.2500 0.2500 0.2500
Pb: 0.5000 0.5000 0.5000

***

# TbNpPd6

A relaxed TbNpPd6 crystal (GGA-PBE, the Alexandria database).

Calculated values
N(E_F): 13.52 states/eV per cell
mass density: 12.179 g cm⁻³
magnetization: 3.00 μB/f.u.
space-group type: P4/mmm
electronic total energy: -54.12 eV per formula unit
E_form: -5.40 eV per formula unit

Lattice parameters (Å, degrees): 4.1298 4.1298 8.2701 90.00 90.00 90.00
Element x y z (fractional)
Tb: 0.0000 0.0000 0.0000
Np: 0.0000 0.0000 0.5000
Pd: 0.0000 0.5000 0.2535
Pd: 0.0000 0.5000 0.7465
Pd: 0.5000 0.0000 0.2535
Pd: 0.5000 0.0000 0.7465
Pd: 0.5000 0.5000 0.0000
Pd: 0.5000 0.5000 0.5000

***

# Ca6Ag5Ir

A relaxed Ca6Ag5Ir crystal (GGA-PBE, the Alexandria database).

Calculated values
N(E_F): 6.64 states/eV per cell
mass density: 5.486 g cm⁻³
magnetization: 0.00 μB/f.u.
space-group type: Cmmm
electronic total energy: -38.84 eV per formula unit
E_form: -3.71 eV per formula unit

Lattice parameters (Å, degrees): 8.1211 8.1211 7.4227 90.00 90.00 143.05
Element x y z (fractional)
Ca: 0.0000 0.0000 0.2308
Ca: 0.0000 0.0000 0.7692
Ca: 0.3425 0.6575 0.2405
Ca: 0.3425 0.6575 0.7595
Ca: 0.6575 0.3425 0.2405
Ca: 0.6575 0.3425 0.7595
Ag: 0.1705 0.8295 0.5000
Ag: 0.1744 0.8256 0.0000
Ag: 0.5000 0.5000 0.5000
Ag: 0.8256 0.1744 0.0000
Ag: 0.8295 0.1705 0.5000
Ir: 0.5000 0.5000 0.0000

***

# CuReN2O

A relaxed CuReN2O crystal (GGA-PBE, the Alexandria database).

Calculated values
N(E_F): 1.34 states/eV per cell
mass density: 8.375 g cm⁻³
magnetization: 0.00 μB/f.u.
space-group type: P4/mmm
formation energy from raw total energies: 0.29 eV per atom
electronic total energy: -36.72 eV per formula unit

Lattice parameters (Å, degrees): 3.8889 3.8889 3.8511 90.00 90.00 90.00
Element x y z (fractional)
Cu: 0.0000 0.0000 0.0000
Re: 0.5000 0.5000 0.5000
N: 0.0000 0.5000 0.5000
N: 0.5000 0.0000 0.5000
O: 0.5000 0.5000 0.0000

***

# Hf4ScIn5

A relaxed Hf4ScIn5 crystal (GGA-PBE, the Alexandria database).

Calculated values
N(E_F): 7.69 states/eV per cell
mass density: 10.175 g cm⁻³
magnetization: 0.55 μB/f.u.
space-group type: P4/mmm
electronic total energy: -61.90 eV per formula unit
E_form: -2.06 eV per formula unit

Lattice parameters (Å, degrees): 3.1297 3.1297 22.2100 90.00 90.00 90.00
Element x y z (fractional)
Hf: 0.0000 0.0000 0.0999
Hf: 0.0000 0.0000 0.2985
Hf: 0.0000 0.0000 0.7015
Hf: 0.0000 0.0000 0.9001
Sc: 0.0000 0.0000 0.5000
In: 0.5000 0.5000 0.0000
In: 0.5000 0.5000 0.1992
In: 0.5000 0.5000 0.3991
In: 0.5000 0.5000 0.6009
In: 0.5000 0.5000 0.8008

***

# TlCoCu2

A relaxed TlCoCu2 crystal (GGA-PBE, the Alexandria database).

Calculated values
N(E_F): 2.86 states/eV per cell
mass density: 11.336 g cm⁻³
magnetization: 0.00 μB/f.u.
distance to the lowest polymorph of the same formula: 0.14 eV per formula unit
space-group type: I-4m2
electronic total energy: -16.16 eV per formula unit
E_form: 1.51 eV per formula unit

Lattice parameters (Å, degrees): 4.5878 4.5878 4.5878 128.73 128.73 75.45
Element x y z (fractional)
Tl: 0.0000 0.0000 0.0000
Co: 0.2500 0.7500 0.5000
Cu: 0.5000 0.5000 0.0000
Cu: 0.7500 0.2500 0.5000